1.
Below is CsRb2Bi3 after structural relaxation, with properties calculated at the PBE-GGA level.

a b c (Å): 7.4231 7.4231 13.3285
angles (deg): 106.46 121.34 63.73
Closest atoms and distances in Å follow each position.
Element x y z (fractional)
1 Rb 0.4625 0.7200 0.9171  7 Bi 3.90-4.35, 2 Rb 4.13-4.25, 2 Cs 4.16-4.29
2 Rb 0.1972 0.9547 0.4171  7 Bi 3.90-4.35, 2 Rb 4.13-4.25, 2 Cs 4.16-4.29
3 Rb 0.5375 0.2800 0.0829  7 Bi 3.90-4.35, 2 Rb 4.13-4.25, 2 Cs 4.16-4.29
4 Rb 0.8028 0.0453 0.5829  7 Bi 3.90-4.35, 2 Rb 4.13-4.25, 2 Cs 4.16-4.29
5 Bi 0.7605 0.4993 0.4163  2 Bi 3.06-3.09
6 Bi 0.2395 0.5007 0.5837  2 Bi 3.06-3.09
7 Bi 0.0829 0.8442 0.0837  2 Bi 3.06-3.09
8 Bi 0.9171 0.1558 0.9163  2 Bi 3.06-3.09
9 Bi 0.5744 0.8244 0.2500  2 Bi 3.09
10 Bi 0.4256 0.1756 0.7500  2 Bi 3.09
11 Cs 0.8499 0.5999 0.7500  8 Bi 4.03-4.21, 4 Rb 4.16-4.29
12 Cs 0.1501 0.4001 0.2500  8 Bi 4.03-4.21, 4 Rb 4.16-4.29

Space-group type   C2/c, No. 15

---

2.
Below is Cs7Rb12Bi after structural relaxation, with properties calculated at the PBE-GGA level.

a b c (Å): 8.7833 15.9683 15.9683
angles (deg): 116.72 100.56 100.56
Closest atoms and distances in Å follow each position.
Element x y z (fractional)
1 Rb 0.0910 0.1821 0.5912  3 Rb 4.61-4.95, 2 Cs 4.97
2 Rb 0.5372 0.6405 0.0004  1 Rb 4.41, 1 Cs 4.78
3 Rb 0.4998 0.4088 0.5909  3 Rb 4.61-4.95, 2 Cs 4.97
4 Rb 0.1033 0.6401 0.6405  1 Rb 4.41, 1 Cs 4.78
5 Rb 0.9090 0.8179 0.4088  3 Rb 4.61-4.95, 2 Cs 4.97
6 Rb 0.5002 0.5912 0.4091  3 Rb 4.61-4.95, 2 Cs 4.97
7 Rb 0.5368 0.9996 0.6401  1 Rb 4.41, 1 Cs 4.78
8 Rb 0.9089 0.4091 0.8179  3 Rb 4.61-4.95, 2 Cs 4.97
9 Rb 0.8967 0.3599 0.3595  1 Rb 4.41, 1 Cs 4.78
10 Rb 0.4628 0.3595 0.9996  1 Rb 4.41, 1 Cs 4.78
11 Rb 0.4632 0.0004 0.3599  1 Rb 4.41, 1 Cs 4.78
12 Rb 0.0911 0.5909 0.1821  3 Rb 4.61-4.95, 2 Cs 4.97
13 Bi 0.0000 0.0000 0.0000  6 Cs 3.83
14 Cs 0.0941 0.7751 0.0003  1 Bi 3.83
15 Cs 0.3190 0.2252 0.2249  1 Bi 3.83
16 Cs 0.5000 0.0000 0.0000  2 Bi 4.39, 6 Cs 4.58
17 Cs 0.6810 0.7748 0.7751  1 Bi 3.83
18 Cs 0.0938 0.9997 0.7748  1 Bi 3.83
19 Cs 0.9059 0.2249 0.9997  1 Bi 3.83
20 Cs 0.9062 0.0003 0.2252  1 Bi 3.83

Space-group type   R-3, No. 148

---

3.
Below is Cs2RbBi2 after structural relaxation, with properties calculated at the PBE-GGA level.

a b c (Å): 5.9853 5.9853 9.0523
angles (deg): 70.70 70.70 90.00
Closest atoms and distances in Å follow each position.
Element x y z (fractional)
1 Bi 0.4082 0.4082 0.1836  1 Bi 2.94
2 Bi 0.5918 0.5918 0.8164  1 Bi 2.94
3 Cs 0.7500 0.2500 0.5000  4 Bi 3.92, 4 Cs 4.23
4 Cs 0.2500 0.7500 0.5000  4 Bi 3.92, 4 Cs 4.23
5 Rb 0.0000 0.0000 0.0000  8 Bi 4.48, 8 Cs 5.00

Space-group type   I4/mmm, No. 139
ΔE to the lowest computed polymorph   57 kJ/mol of formula units

---

4.
Below is CsRbBi after structural relaxation, with properties calculated at the PBE-GGA level.

a b c (Å): 5.4772 5.4772 18.1791
angles (deg): 81.34 81.34 60.00
Closest atoms and distances in Å follow each position.
Element x y z (fractional)
1 Rb 0.4555 0.4555 0.6334  6 Bi 3.82-4.11
2 Rb 0.5445 0.5445 0.3666  6 Bi 3.82-4.11
3 Bi 0.1622 0.1622 0.5134  3 Bi 3.20
4 Bi 0.8378 0.8378 0.4866  3 Bi 3.20
5 Cs 0.2918 0.2918 0.1245  3 Rb 5.36, 9 Cs 5.47-5.48
6 Cs 0.7082 0.7082 0.8755  3 Rb 5.36, 9 Cs 5.47-5.48

Space-group type   R-3m, No. 166
ΔE to the lowest computed polymorph   51 kJ/mol of formula units

---

5.
Below is CsRbBi2 after structural relaxation, with properties calculated at the PBE-GGA level.

a b c (Å): 4.9219 7.4044 11.1147
angles (deg): 90.00 90.00 90.00
Closest atoms and distances in Å follow each position.
Element x y z (fractional)
1 Bi 0.5000 0.8593 0.4709  2 Bi 3.08
2 Bi 0.0000 0.3735 0.0312  2 Bi 3.08
3 Bi 0.5000 0.1407 0.9709  2 Bi 3.08
4 Bi 0.0000 0.6265 0.5312  2 Bi 3.08
5 Rb 0.5000 0.3608 0.3115  7 Bi 3.97-4.12
6 Rb 0.5000 0.6392 0.8115  7 Bi 3.97-4.12
7 Cs 0.0000 0.1409 0.6864  7 Bi 3.99-4.20
8 Cs 0.0000 0.8591 0.1864  7 Bi 3.99-4.20

Space-group type   Pmc2_1, No. 26
ΔE to the lowest computed polymorph   0 kJ/mol of formula units

---

6.
Below is CsRbBi2 after structural relaxation, with properties calculated at the PBE-GGA level.

a b c (Å): 6.3233 6.3233 6.3233
angles (deg): 60.00 60.00 60.00
Closest atoms and distances in Å follow each position.
Element x y z (fractional)
1 Bi 0.2500 0.2500 0.2500  4 Cs 3.87, 4 Rb 3.87
2 Bi 0.7500 0.7500 0.7500  4 Cs 3.87, 4 Rb 3.87
3 Rb 0.0000 0.0000 0.0000  8 Bi 3.87
4 Cs 0.5000 0.5000 0.5000  8 Bi 3.87

Space-group type   Fm-3m, No. 225
ΔE to the lowest computed polymorph   140 kJ/mol of formula units

---

7.
Below is CsRb3Bi after structural relaxation, with properties calculated at the PBE-GGA level.

a b c (Å): 7.3629 7.3629 7.3629
angles (deg): 90.00 90.00 90.00
Closest atoms and distances in Å follow each position.
Element x y z (fractional)
1 Cs 0.5000 0.5000 0.5000  12 Rb 5.21
2 Rb 0.0000 0.0000 0.5000  2 Bi 3.68
3 Rb 0.0000 0.5000 0.0000  2 Bi 3.68
4 Rb 0.5000 0.0000 0.0000  2 Bi 3.68
5 Bi 0.0000 0.0000 0.0000  6 Rb 3.68

Space-group type   Pm-3m, No. 221
ΔE to the lowest computed polymorph   33 kJ/mol of formula units

---

8.
Below is CsRb3Bi after structural relaxation, with properties calculated at the PBE-GGA level.

a b c (Å): 6.4343 6.3719 14.3186
angles (deg): 90.00 77.02 90.00
Closest atoms and distances in Å follow each position.
Element x y z (fractional)
1 Bi 0.1581 0.2500 0.3321  8 Rb 3.95-4.14
2 Bi 0.4902 0.7500 0.6679  8 Rb 3.95-4.14
3 Rb 0.5740 0.2500 0.5004  4 Cs 3.88-3.90, 4 Bi 3.95-3.98
4 Rb 0.3990 0.2500 0.8504  2 Bi 4.08, 2 Cs 4.19, 4 Rb 4.53
5 Rb 0.7514 0.2500 0.1455  2 Bi 4.14, 2 Cs 4.20, 4 Rb 4.53
6 Rb 0.0744 0.7500 0.4996  4 Cs 3.88-3.90, 4 Bi 3.95-3.98
7 Rb 0.8969 0.7500 0.8545  2 Bi 4.14, 2 Cs 4.20, 4 Rb 4.53
8 Rb 0.2493 0.7500 0.1496  2 Bi 4.08, 2 Cs 4.19, 4 Rb 4.53
9 Cs 0.6531 0.7500 0.3422  8 Rb 3.88-4.20
10 Cs 0.9953 0.2500 0.6578  8 Rb 3.88-4.20

Space-group type   Cmcm, No. 63
ΔE to the lowest computed polymorph   0 kJ/mol of formula units

---

9.
Below is Cs2RbBi2 after structural relaxation, with properties calculated at the PBE-GGA level.

a b c (Å): 6.4243 6.4243 8.4201
angles (deg): 67.57 67.57 90.00
Closest atoms and distances in Å follow each position.
Element x y z (fractional)
1 Rb 0.0000 0.0000 0.0000  8 Bi 4.78, 10 Cs 4.89-5.28
2 Cs 0.3720 0.3720 0.2559  1 Cs 3.63, 4 Bi 3.65
3 Cs 0.6280 0.6280 0.7441  1 Cs 3.63, 4 Bi 3.65
4 Bi 0.7500 0.2500 0.5000  4 Cs 3.65
5 Bi 0.2500 0.7500 0.5000  4 Cs 3.65

Space-group type   I4/mmm, No. 139
ΔE to the lowest computed polymorph   174 kJ/mol of formula units

---

10.
Below is Cs2RbBi2 after structural relaxation, with properties calculated at the PBE-GGA level.

a b c (Å): 5.4436 7.8277 7.0310
angles (deg): 83.76 112.77 90.00
Closest atoms and distances in Å follow each position.
Element x y z (fractional)
1 Cs 0.6361 0.6415 0.2721  4 Bi 3.85-4.22, 2 Rb 4.15
2 Cs 0.3639 0.3585 0.7279  4 Bi 3.85-4.22, 2 Rb 4.15
3 Rb 0.0000 0.0000 0.0000  6 Bi 3.73-4.01, 4 Cs 4.15
4 Bi 0.7115 0.1025 0.4229  2 Bi 3.26
5 Bi 0.2885 0.8975 0.5771  2 Bi 3.26

Space-group type   C2/m, No. 12
ΔE to the lowest computed polymorph   1 kJ/mol of formula units

---

11.
Below is Cs3Rb2Bi4 after structural relaxation, with properties calculated at the PBE-GGA level.

a b c (Å): 6.3478 7.7558 11.4353
angles (deg): 57.88 71.17 65.48
Closest atoms and distances in Å follow each position.
Element x y z (fractional)
1 Bi 0.1205 0.4136 0.3520  1 Bi 3.11
2 Bi 0.7097 0.5987 0.9320  2 Bi 3.11-3.17
3 Bi 0.2903 0.4013 0.0680  2 Bi 3.11-3.17
4 Bi 0.8795 0.5864 0.6480  1 Bi 3.11
5 Rb 0.7724 0.1527 0.3191  6 Bi 3.77-4.03, 2 Cs 4.07-4.14
6 Rb 0.2276 0.8473 0.6809  6 Bi 3.77-4.03, 2 Cs 4.07-4.14
7 Cs 0.4585 0.7677 0.3170  3 Bi 3.93-4.02, 2 Cs 4.02-4.28, 4 Rb 4.14-4.33
8 Cs 0.5415 0.2323 0.6830  3 Bi 3.93-4.02, 2 Cs 4.02-4.28, 4 Rb 4.14-4.33
9 Cs 0.0000 0.0000 0.0000  6 Bi 3.94-4.39, 2 Rb 4.07, 2 Cs 4.28

Space-group type   P-1, No. 2

---

12.
Below is Cs6Rb2Bi after structural relaxation, with properties calculated at the PBE-GGA level.

a b c (Å): 10.7598 10.7576 15.3278
angles (deg): 90.00 90.10 90.00
Closest atoms and distances in Å follow each position.
Element x y z (fractional)
1 Cs 0.2559 0.7439 0.0005  1 Bi 3.71
2 Cs 0.2425 0.7545 0.4999  1 Bi 3.71
3 Cs 0.2575 0.2545 0.0001  1 Bi 3.71
4 Cs 0.7559 0.7561 0.5005  1 Bi 3.71
5 Cs 0.0015 0.0000 0.7423  1 Bi 3.71
6 Cs 0.7425 0.7455 0.9999  1 Bi 3.71
7 Cs 0.5015 0.5000 0.2423  1 Bi 3.71
8 Cs 0.9985 0.0000 0.2577  1 Bi 3.71
9 Cs 0.7441 0.2561 0.9995  1 Bi 3.71
10 Cs 0.7575 0.2455 0.5001  1 Bi 3.71
11 Cs 0.4985 0.5000 0.7577  1 Bi 3.71
12 Cs 0.2441 0.2439 0.4995  1 Bi 3.71
13 Bi 0.5000 0.5000 0.0000  6 Cs 3.71
14 Bi 0.0000 0.0000 0.5000  6 Cs 3.71
15 Rb 0.0011 0.5000 0.2483  12 Cs 5.37-5.43
16 Rb 0.4989 0.0000 0.2517  12 Cs 5.37-5.43
17 Rb 0.9989 0.5000 0.7517  12 Cs 5.37-5.43
18 Rb 0.5011 0.0000 0.7483  12 Cs 5.37-5.43

Space-group type   P2_1/c, No. 14

---

no.,formation energy from the elements (eV/atom)
1,-0.331
2,-0.018
3,-0.193
4,-0.162
5,-0.345
6,0.018
7,-0.147
8,-0.215
9,0.050
10,-0.309
11,-0.307
12,-0.120